# PBE Ho2Tm2Ag, relaxed
data_Ho2Tm2Ag
_chemical_formula_sum 'Ho4 Tm4 Ag2'
_space_group_name_H-M_alt 'I 4/m m m'
_space_group_IT_number 139
_space_group_name_Hall '-I 4 2'
_cell_length_a 3.5036
_cell_length_b 3.5036
_cell_length_c 22.6704
_cell_angle_alpha 90.00
_cell_angle_beta 90.00
_cell_angle_gamma 90.00
loop_
_atom_site_label
_atom_site_fract_x
_atom_site_fract_y
_atom_site_fract_z
Ho1 0.0000 0.0000 0.1953
Tm1 0.0000 0.0000 0.4168
Ag1 0.0000 0.0000 0.0000
# - mass density (kg/m³) = 9256
# - M_tot (μB per formula unit) = 0.00
# - calculated formation energy (eV per atom) = -0.10
# - total energy (eV/atom) = -4.29
# - Fermi-level density of states (states/eV/cell) = 11.1

=====

# PBE Ho2TmAg3, relaxed
data_Ho2TmAg3
_chemical_formula_sum 'Ho2 Tm1 Ag3'
_space_group_name_H-M_alt 'P 4/m m m'
_space_group_IT_number 123
_space_group_name_Hall '-P 4 2'
_cell_length_a 3.5916
_cell_length_b 3.5916
_cell_length_c 10.9290
_cell_angle_alpha 90.00
_cell_angle_beta 90.00
_cell_angle_gamma 90.00
loop_
_atom_site_label
_atom_site_fract_x
_atom_site_fract_y
_atom_site_fract_z
Ho1 0.0000 0.0000 0.1679
Tm1 0.0000 0.0000 0.5000
Ag1 0.5000 0.5000 0.0000
Ag2 0.5000 0.5000 0.3367
# - mass density (kg/m³) = 9687
# - M_tot (μB per formula unit) = 0.00
# - calculated formation energy (eV per atom) = -0.33
# - total energy (eV/atom) = -4.03
# - Fermi-level density of states (states/eV/cell) = 2.5

=====

# PBE HoTm2Ag, relaxed
data_HoTm2Ag
_chemical_formula_sum 'Ho1 Tm2 Ag1'
_space_group_name_H-M_alt 'P 4/m m m'
_space_group_IT_number 123
_space_group_name_Hall '-P 4 2'
_cell_length_a 3.5140
_cell_length_b 3.5140
_cell_length_c 8.7697
_cell_angle_alpha 90.00
_cell_angle_beta 90.00
_cell_angle_gamma 90.00
loop_
_atom_site_label
_atom_site_fract_x
_atom_site_fract_y
_atom_site_fract_z
Ho1 0.0000 0.0000 0.0000
Tm1 0.5000 0.5000 0.2849
Ag1 0.0000 0.0000 0.5000
# - mass density (kg/m³) = 9364
# - M_tot (μB per formula unit) = 0.00
# - calculated formation energy (eV per atom) = -0.14
# - total energy (eV/atom) = -4.23
# - Fermi-level density of states (states/eV/cell) = 4.5

=====

# PBE Ho4TmAg, relaxed
data_Ho4TmAg
_chemical_formula_sum 'Ho16 Tm4 Ag4'
_space_group_name_H-M_alt 'C m c 21'
_space_group_IT_number 36
_space_group_name_Hall 'C 2c -2'
_cell_length_a 5.3802
_cell_length_b 20.6549
_cell_length_c 6.3635
_cell_angle_alpha 90.00
_cell_angle_beta 90.00
_cell_angle_gamma 90.00
loop_
_atom_site_label
_atom_site_fract_x
_atom_site_fract_y
_atom_site_fract_z
Ho1 0.0000 0.0354 0.0000
Ho2 0.0000 0.1772 0.8071
Ho3 0.0000 0.2437 0.2932
Ho4 0.0000 0.4345 0.1679
Tm1 0.0000 0.3648 0.6653
Ag1 0.0000 0.1032 0.4097
# - mass density (kg/m³) = 8796
# - M_tot (μB per formula unit) = 0.00
# - calculated formation energy (eV per atom) = 0.04
# - total energy (eV/atom) = -4.23
# - Fermi-level density of states (states/eV/cell) = 29.9

=====

# PBE HoTmAg4, relaxed
data_HoTmAg4
_chemical_formula_sum 'Ho2 Tm2 Ag8'
_space_group_name_H-M_alt 'C 1 m 1'
_space_group_IT_number 8
_space_group_name_Hall 'C -2y'
_cell_length_a 5.2527
_cell_length_b 9.2182
_cell_length_c 5.2480
_cell_angle_alpha 90.00
_cell_angle_beta 91.17
_cell_angle_gamma 90.00
loop_
_atom_site_label
_atom_site_fract_x
_atom_site_fract_y
_atom_site_fract_z
Ho1 0.0000 0.0000 0.0000
Tm1 0.0008 0.5000 0.4999
Ag1 0.9997 0.3318 0.9999
Ag2 0.0011 0.1696 0.5000
# - mass density (kg/m³) = 10004
# - M_tot (μB per formula unit) = 0.00
# - calculated formation energy (eV per atom) = -0.32
# - total energy (eV/atom) = -3.73
# - Fermi-level density of states (states/eV/cell) = 5.7

=====

# PBE HoTm3Ag2, relaxed
data_HoTm3Ag2
_chemical_formula_sum 'Ho1 Tm3 Ag2'
_space_group_name_H-M_alt 'P 4/m m m'
_space_group_IT_number 123
_space_group_name_Hall '-P 4 2'
_cell_length_a 3.5702
_cell_length_b 3.5702
_cell_length_c 12.1099
_cell_angle_alpha 90.00
_cell_angle_beta 90.00
_cell_angle_gamma 90.00
loop_
_atom_site_label
_atom_site_fract_x
_atom_site_fract_y
_atom_site_fract_z
Ho1 0.0000 0.0000 0.0000
Tm1 0.5000 0.5000 0.2015
Tm2 0.5000 0.5000 0.5000
Ag1 0.0000 0.0000 0.3508
# - mass density (kg/m³) = 9547
# - M_tot (μB per formula unit) = 0.00
# - calculated formation energy (eV per atom) = -0.21
# - total energy (eV/atom) = -4.16
# - Fermi-level density of states (states/eV/cell) = 5.5

=====

# PBE HoTmAg6, relaxed
data_HoTmAg6
_chemical_formula_sum 'Ho2 Tm2 Ag12'
_space_group_name_H-M_alt 'C 1 2/m 1'
_space_group_IT_number 12
_space_group_name_Hall '-C 2y'
_cell_length_a 9.4427
_cell_length_b 4.3983
_cell_length_c 8.8274
_cell_angle_alpha 90.00
_cell_angle_beta 117.73
_cell_angle_gamma 90.00
loop_
_atom_site_label
_atom_site_fract_x
_atom_site_fract_y
_atom_site_fract_z
Ho1 0.0000 0.0000 0.0000
Tm1 0.0000 0.0000 0.5000
Ag1 0.0009 0.5000 0.7490
Ag2 0.2505 0.0000 0.3765
Ag3 0.2495 0.0000 0.8732
# - mass density (kg/m³) = 10040
# - M_tot (μB per formula unit) = 0.00
# - calculated formation energy (eV per atom) = -0.22
# - total energy (eV/atom) = -3.49
# - Fermi-level density of states (states/eV/cell) = 9.6

=====

# PBE HoTmAg4, relaxed
data_HoTmAg4
_chemical_formula_sum 'Ho4 Tm4 Ag16'
_space_group_name_H-M_alt 'F -4 3 m'
_space_group_IT_number 216
_space_group_name_Hall 'F -4 2 3'
_cell_length_a 8.0290
_cell_length_b 8.0290
_cell_length_c 8.0290
_cell_angle_alpha 90.00
_cell_angle_beta 90.00
_cell_angle_gamma 90.00
loop_
_atom_site_label
_atom_site_fract_x
_atom_site_fract_y
_atom_site_fract_z
Ho1 0.0000 0.0000 0.0000
Tm1 0.2500 0.2500 0.2500
Ag1 0.1249 0.1249 0.6249
# - mass density (kg/m³) = 9821
# - M_tot (μB per formula unit) = 0.00
# - calculated formation energy (eV per atom) = -0.17
# - total energy (eV/atom) = -3.58
# - Fermi-level density of states (states/eV/cell) = 26.0

=====

# PBE HoTmAg4, relaxed
data_HoTmAg4
_chemical_formula_sum 'Ho2 Tm2 Ag8'
_space_group_name_H-M_alt 'C 1 2/m 1'
_space_group_IT_number 12
_space_group_name_Hall '-C 2y'
_cell_length_a 9.9498
_cell_length_b 3.6847
_cell_length_c 7.4880
_cell_angle_alpha 90.00
_cell_angle_beta 112.15
_cell_angle_gamma 90.00
loop_
_atom_site_label
_atom_site_fract_x
_atom_site_fract_y
_atom_site_fract_z
Ho1 0.0000 0.0000 0.0000
Tm1 0.0000 0.0000 0.5000
Ag1 0.1690 0.5000 0.3365
Ag2 0.1686 0.5000 0.8323
# - mass density (kg/m³) = 9997
# - M_tot (μB per formula unit) = 0.00
# - calculated formation energy (eV per atom) = -0.33
# - total energy (eV/atom) = -3.73
# - Fermi-level density of states (states/eV/cell) = 4.6

=====

# PBE HoTm2Ag, relaxed
data_HoTm2Ag
_chemical_formula_sum 'Ho3 Tm6 Ag3'
_space_group_name_H-M_alt 'R -3 m'
_space_group_IT_number 166
_space_group_name_Hall '-R 3 2"'
_cell_length_a 3.5014
_cell_length_b 3.5014
_cell_length_c 31.0769
_cell_angle_alpha 90.00
_cell_angle_beta 90.00
_cell_angle_gamma 120.00
loop_
_atom_site_label
_atom_site_fract_x
_atom_site_fract_y
_atom_site_fract_z
Ho1 0.0000 0.0000 0.0000
Tm1 0.0000 0.0000 0.2417
Ag1 0.0000 0.0000 0.5000
# - mass density (kg/m³) = 9220
# - M_tot (μB per formula unit) = 0.00
# - calculated formation energy (eV per atom) = -0.02
# - total energy (eV/atom) = -4.11
# - Fermi-level density of states (states/eV/cell) = 13.5

=====

# PBE Ho2TmAg4, relaxed
data_Ho2TmAg4
_chemical_formula_sum 'Ho4 Tm2 Ag8'
_space_group_name_H-M_alt 'I 4/m m m'
_space_group_IT_number 139
_space_group_name_Hall '-I 4 2'
_cell_length_a 7.0690
_cell_length_b 7.0690
_cell_length_c 7.1457
_cell_angle_alpha 90.00
_cell_angle_beta 90.00
_cell_angle_gamma 90.00
loop_
_atom_site_label
_atom_site_fract_x
_atom_site_fract_y
_atom_site_fract_z
Ho1 0.0000 0.5000 0.0000
Tm1 0.0000 0.0000 0.0000
Ag1 0.2500 0.2500 0.2500
# - mass density (kg/m³) = 8652
# - M_tot (μB per formula unit) = 0.00
# - calculated formation energy (eV per atom) = -0.10
# - total energy (eV/atom) = -3.68
# - Fermi-level density of states (states/eV/cell) = 8.4

=====

# PBE HoTmAg, relaxed
data_HoTmAg
_chemical_formula_sum 'Ho6 Tm6 Ag6'
_space_group_name_H-M_alt 'R -3 m'
_space_group_IT_number 166
_space_group_name_Hall '-R 3 2"'
_cell_length_a 4.9822
_cell_length_b 4.9822
_cell_length_c 24.3172
_cell_angle_alpha 90.00
_cell_angle_beta 90.00
_cell_angle_gamma 120.00
loop_
_atom_site_label
_atom_site_fract_x
_atom_site_fract_y
_atom_site_fract_z
Ho1 0.0000 0.0000 0.1245
Tm1 0.0000 0.0000 0.3747
Ag1 0.0000 0.0000 0.2507
# - mass density (kg/m³) = 8419
# - M_tot (μB per formula unit) = 0.00
# - calculated formation energy (eV per atom) = 0.03
# - total energy (eV/atom) = -3.94
# - Fermi-level density of states (states/eV/cell) = 19.3

=====

# PBE Ho5TmAg4, relaxed
data_Ho5TmAg4
_chemical_formula_sum 'Ho5 Tm1 Ag4'
_space_group_name_H-M_alt 'P 4/m m m'
_space_group_IT_number 123
_space_group_name_Hall '-P 4 2'
_cell_length_a 3.5923
_cell_length_b 3.5923
_cell_length_c 19.5027
_cell_angle_alpha 90.00
_cell_angle_beta 90.00
_cell_angle_gamma 90.00
loop_
_atom_site_label
_atom_site_fract_x
_atom_site_fract_y
_atom_site_fract_z
Ho1 0.0000 0.0000 0.0000
Ho2 0.0000 0.0000 0.1886
Ho3 0.0000 0.0000 0.3761
Tm1 0.5000 0.5000 0.5000
Ag1 0.5000 0.5000 0.0936
Ag2 0.5000 0.5000 0.2821
# - mass density (kg/m³) = 9402
# - M_tot (μB per formula unit) = 0.00
# - calculated formation energy (eV per atom) = -0.25
# - total energy (eV/atom) = -4.13
# - Fermi-level density of states (states/eV/cell) = 6.7

=====

# PBE HoTmAg, relaxed
data_HoTmAg
_chemical_formula_sum 'Ho1 Tm1 Ag1'
_space_group_name_H-M_alt 'P 3 m 1'
_space_group_IT_number 156
_space_group_name_Hall 'P 3 -2"'
_cell_length_a 5.0138
_cell_length_b 5.0138
_cell_length_c 3.6062
_cell_angle_alpha 90.00
_cell_angle_beta 90.00
_cell_angle_gamma 120.00
loop_
_atom_site_label
_atom_site_fract_x
_atom_site_fract_y
_atom_site_fract_z
Ho1 0.0000 0.0000 0.0000
Tm1 0.3333 0.6667 0.5374
Ag1 0.6667 0.3333 0.2842
# - mass density (kg/m³) = 9343
# - M_tot (μB per formula unit) = 0.00
# - calculated formation energy (eV per atom) = -0.04
# - total energy (eV/atom) = -4.01
# - Fermi-level density of states (states/eV/cell) = 2.4

=====

# PBE HoTmAg, relaxed
data_HoTmAg
_chemical_formula_sum 'Ho16 Tm16 Ag16'
_space_group_name_H-M_alt 'F d d d'
_space_group_IT_number 70
_cell_length_a 9.9593
_cell_length_b 9.9751
_cell_length_c 14.0402
_cell_angle_alpha 90.00
_cell_angle_beta 90.00
_cell_angle_gamma 90.00
loop_
_space_group_symop_operation_xyz
'x,y,z'
'-x,-y,-z'
'-x+1/4,-y+1/4,z'
'x+1/4,y+1/4,-z'
'x,-y+1/4,-z+1/4'
'-x,y+1/4,z+1/4'
'-x+1/4,y,-z+1/4'
'x+1/4,-y,z+1/4'
'x,y+1/2,z+1/2'
'-x,-y+1/2,-z+1/2'
'-x+1/4,-y+3/4,z+1/2'
'x+1/4,y+3/4,-z+1/2'
'x,-y+3/4,-z+3/4'
'-x,y+3/4,z+3/4'
'-x+1/4,y+1/2,-z+3/4'
'x+1/4,-y+1/2,z+3/4'
'x+1/2,y,z+1/2'
'-x+1/2,-y,-z+1/2'
'-x+3/4,-y+1/4,z+1/2'
'x+3/4,y+1/4,-z+1/2'
'x+1/2,-y+1/4,-z+3/4'
'-x+1/2,y+1/4,z+3/4'
'-x+3/4,y,-z+3/4'
'x+3/4,-y,z+3/4'
'x+1/2,y+1/2,z'
'-x+1/2,-y+1/2,-z'
'-x+3/4,-y+3/4,z'
'x+3/4,y+3/4,-z'
'x+1/2,-y+3/4,-z+1/4'
'-x+1/2,y+3/4,z+1/4'
'-x+3/4,y+1/2,-z+1/4'
'x+3/4,-y+1/2,z+1/4'
loop_
_atom_site_label
_atom_site_fract_x
_atom_site_fract_y
_atom_site_fract_z
Ho1 0.1250 0.1250 0.0000
Tm1 0.1250 0.1250 0.5000
Ag1 0.1235 0.3750 0.8750
# - mass density (kg/m³) = 8414
# - M_tot (μB per formula unit) = 0.00
# - calculated formation energy (eV per atom) = 0.03
# - total energy (eV/atom) = -3.93
# - Fermi-level density of states (states/eV/cell) = 57.3

=====

# PBE Ho3TmAg3, relaxed
data_Ho3TmAg3
_chemical_formula_sum 'Ho12 Tm4 Ag12'
_space_group_name_H-M_alt 'C 1 2/m 1'
_space_group_IT_number 12
_space_group_name_Hall '-C 2y'
_cell_length_a 9.8125
_cell_length_b 10.6145
_cell_length_c 6.9817
_cell_angle_alpha 90.00
_cell_angle_beta 91.07
_cell_angle_gamma 90.00
loop_
_atom_site_label
_atom_site_fract_x
_atom_site_fract_y
_atom_site_fract_z
Ho1 0.0000 0.1821 0.0000
Ho2 0.0000 0.2626 0.5000
Ho3 0.1256 0.5000 0.8444
Tm1 0.2436 0.5000 0.3532
Ag1 0.0727 0.0000 0.3151
Ag2 0.2414 0.2427 0.2294
# - mass density (kg/m³) = 9020
# - M_tot (μB per formula unit) = 0.00
# - calculated formation energy (eV per atom) = -0.15
# - total energy (eV/atom) = -3.97
# - Fermi-level density of states (states/eV/cell) = 23.8

=====

# PBE HoTm2Ag4, relaxed
data_HoTm2Ag4
_chemical_formula_sum 'Ho2 Tm4 Ag8'
_space_group_name_H-M_alt 'I 4/m m m'
_space_group_IT_number 139
_space_group_name_Hall '-I 4 2'
_cell_length_a 7.1045
_cell_length_b 7.1045
_cell_length_c 7.0151
_cell_angle_alpha 90.00
_cell_angle_beta 90.00
_cell_angle_gamma 90.00
loop_
_atom_site_label
_atom_site_fract_x
_atom_site_fract_y
_atom_site_fract_z
Ho1 0.0000 0.0000 0.0000
Tm1 0.0000 0.5000 0.0000
Ag1 0.2500 0.2500 0.2500
# - mass density (kg/m³) = 8763
# - M_tot (μB per formula unit) = 0.00
# - calculated formation energy (eV per atom) = -0.11
# - total energy (eV/atom) = -3.67
# - Fermi-level density of states (states/eV/cell) = 8.7

=====

# PBE HoTm2Ag, relaxed
data_HoTm2Ag
_chemical_formula_sum 'Ho3 Tm6 Ag3'
_space_group_name_H-M_alt 'R 3 m'
_space_group_IT_number 160
_space_group_name_Hall 'R 3 -2"'
_cell_length_a 3.5555
_cell_length_b 3.5555
_cell_length_c 30.5674
_cell_angle_alpha 90.00
_cell_angle_beta 90.00
_cell_angle_gamma 120.00
loop_
_atom_site_label
_atom_site_fract_x
_atom_site_fract_y
_atom_site_fract_z
Ho1 0.0000 0.0000 0.0000
Tm1 0.0000 0.0000 0.5743
Tm2 0.0000 0.0000 0.7586
Ag1 0.0000 0.0000 0.1662
# - mass density (kg/m³) = 9090
# - M_tot (μB per formula unit) = 0.28
# - calculated formation energy (eV per atom) = -0.01
# - total energy (eV/atom) = -4.11
# - Fermi-level density of states (states/eV/cell) = 17.1

=====

# PBE Ho2Tm2Ag, relaxed
data_Ho2Tm2Ag
_chemical_formula_sum 'Ho8 Tm8 Ag4'
_space_group_name_H-M_alt 'I 41/a m d'
_space_group_IT_number 141
_cell_length_a 4.9768
_cell_length_b 4.9768
_cell_length_c 24.1216
_cell_angle_alpha 90.00
_cell_angle_beta 90.00
_cell_angle_gamma 90.00
loop_
_space_group_symop_operation_xyz
'x,y,z'
'-x,-y,-z'
'-y+1/4,x+3/4,z+1/4'
'y+1/4,-x+3/4,-z+1/4'
'-x+1/2,-y,z+1/2'
'x+1/2,y,-z+1/2'
'y+1/4,-x+1/4,z+3/4'
'-y+1/4,x+1/4,-z+3/4'
'x,-y,-z'
'-x,y,z'
'-y+1/4,-x+1/4,-z+3/4'
'y+1/4,x+1/4,z+3/4'
'-x+1/2,y,-z+1/2'
'x+1/2,-y,z+1/2'
'y+1/4,x+3/4,-z+1/4'
'-y+1/4,-x+3/4,z+1/4'
'x+1/2,y+1/2,z+1/2'
'-x+1/2,-y+1/2,-z+1/2'
'-y+3/4,x+1/4,z+3/4'
'y+3/4,-x+1/4,-z+3/4'
'-x,-y+1/2,z'
'x,y+1/2,-z'
'y+3/4,-x+3/4,z+1/4'
'-y+3/4,x+3/4,-z+1/4'
'x+1/2,-y+1/2,-z+1/2'
'-x+1/2,y+1/2,z+1/2'
'-y+3/4,-x+3/4,-z+1/4'
'y+3/4,x+3/4,z+1/4'
'-x,y+1/2,-z'
'x,-y+1/2,z'
'y+3/4,x+1/4,-z+3/4'
'-y+3/4,-x+1/4,z+3/4'
loop_
_atom_site_label
_atom_site_fract_x
_atom_site_fract_y
_atom_site_fract_z
Ho1 0.0000 0.2500 0.0501
Tm1 0.0000 0.2500 0.1986
Ag1 0.0000 0.2500 0.8750
# - mass density (kg/m³) = 8623
# - M_tot (μB per formula unit) = 1.74
# - calculated formation energy (eV per atom) = 0.04
# - total energy (eV/atom) = -4.15
# - Fermi-level density of states (states/eV/cell) = 30.2

=====

# PBE HoTm4Ag, relaxed
data_HoTm4Ag
_chemical_formula_sum 'Ho1 Tm4 Ag1'
_space_group_name_H-M_alt 'P 4/m m m'
_space_group_IT_number 123
_space_group_name_Hall '-P 4 2'
_cell_length_a 3.4904
_cell_length_b 3.4904
_cell_length_c 13.8041
_cell_angle_alpha 90.00
_cell_angle_beta 90.00
_cell_angle_gamma 90.00
loop_
_atom_site_label
_atom_site_fract_x
_atom_site_fract_y
_atom_site_fract_z
Ho1 0.0000 0.0000 0.0000
Tm1 0.0000 0.0000 0.3619
Tm2 0.5000 0.5000 0.1799
Ag1 0.5000 0.5000 0.5000
# - mass density (kg/m³) = 9366
# - M_tot (μB per formula unit) = 0.00
# - calculated formation energy (eV per atom) = -0.08
# - total energy (eV/atom) = -4.30
# - Fermi-level density of states (states/eV/cell) = 7.7